DFT (PBE) results for a relaxed FeCoBr2 crystal.

Values from the calculation:
**Final energy**: -4.140 eV/atom
**Distance to the lowest polymorph of the same formula**: 607 meV/atom
**Uncorrected formation energy**: 0.589 eV/atom
**Symmetry**: No. 71

Cell: 5.282 5.282 5.282 Å, 143.53 106.20 85.23°
Site moments in Bohr magnetons follow the coordinates.
Fractional positions:
Br  0.996  0.996  0.000  0.09
Br  0.504  0.504  0.000  0.09
Co  0.750  0.250  0.500  1.82
Fe  0.250  0.750  0.500  3.04

DFT (PBE) results for a relaxed Pm3PrNd12 crystal.

Values from the calculation:
**Final energy**: -4.755 eV/atom
**Symmetry**: No. 123
**Energy of formation**: 0.011 eV per atom

Cell: 5.200 5.200 20.773 Å, 90.00 90.00 90.00°
Fractional positions:
Pm  0.000  0.000  0.250
Pm  0.000  0.000  0.500
Pm  0.000  0.000  0.750
Pr  0.000  0.000  0.000
Nd  0.500  0.500  0.000
Nd  0.500  0.500  0.251
Nd  0.500  0.500  0.500
Nd  0.500  0.500  0.749
Nd  0.500  0.000  0.126
Nd  0.500  0.000  0.375
Nd  0.500  0.000  0.625
Nd  0.500  0.000  0.874
Nd  0.000  0.500  0.126
Nd  0.000  0.500  0.375
Nd  0.000  0.500  0.625
Nd  0.000  0.500  0.874

DFT (PBE) results for a relaxed Dy7Tl2Bi2 crystal.

Values from the calculation:
**Final energy**: -4.199 eV/atom
**Symmetry**: No. 12
**Energy of formation**: -0.135 eV per atom

Cell: 6.936 7.719 6.936 Å, 89.96 105.76 90.04°
Fractional positions:
Dy  0.000  0.286  0.500
Dy  0.500  0.714  0.000
Dy  0.000  0.714  0.500
Dy  0.500  0.286  0.000
Dy  0.000  0.000  0.000
Dy  0.500  0.726  0.500
Dy  0.500  0.274  0.500
Tl  0.821  0.500  0.821
Tl  0.179  0.500  0.179
Bi  0.713  0.000  0.287
Bi  0.287  0.000  0.713

The highest final energy belongs to which entry?
FeCoBr2

Which of these has the lowest final energy?
Pm3PrNd12

Which of these has the lowest final energy?
Pm3PrNd12